[1]
# PrHo2Tm3 | Alexandria | GGA-PBE | optimized geometry
data_PrHo2Tm3
_chemical_formula_sum 'Pr2 Ho4 Tm6'
_cell_length_a 7.114
_cell_length_b 7.121
_cell_length_c 8.784
_cell_angle_alpha 78.22
_cell_angle_beta 78.26
_cell_angle_gamma 60.21
_space_group_name_H-M_alt 'P -1'
_space_group_IT_number 2
loop_
_space_group_symop_operation_xyz
'x,y,z'
'-x,-y,-z'
loop_
_atom_site_label
_atom_site_type_symbol
_atom_site_fract_x
_atom_site_fract_y
_atom_site_fract_z
_atom_site_occupancy
Pr1 Pr 0.250 0.250 0.001 1
Ho1 Ho 0.139 0.139 0.665 1
Ho2 Ho 0.361 0.860 0.337 1
Tm1 Tm 0.140 0.639 0.663 1
Tm2 Tm 0.251 0.750 0.999 1
Tm3 Tm 0.361 0.362 0.335 1
# Formation enthalpy at 0 K ... 0.000 eV/atom
# Density of states at the Fermi level ... 7.8 states/eV/f.u.
# Energy relative to the lowest polymorph listed for this composition ... 0 meV/atom

---

[2]
# Pr6Ho4Tm | Alexandria | GGA-PBE | optimized geometry
data_Pr6Ho4Tm
_chemical_formula_sum 'Pr12 Ho8 Tm2'
_cell_length_a 6.838
_cell_length_b 6.838
_cell_length_c 16.423
_cell_angle_alpha 90.00
_cell_angle_beta 90.00
_cell_angle_gamma 90.00
_space_group_name_H-M_alt 'I -4 2 m'
_space_group_IT_number 121
_space_group_name_Hall 'I -4 2'
loop_
_atom_site_label
_atom_site_type_symbol
_atom_site_fract_x
_atom_site_fract_y
_atom_site_fract_z
_atom_site_occupancy
Pr1 Pr 0.000 0.500 0.000 1
Pr2 Pr 0.192 0.192 0.178 1
Ho1 Ho 0.175 0.175 0.388 1
Tm1 Tm 0.000 0.000 0.000 1
# Formation enthalpy at 0 K ... 0.293 eV/atom
# Density of states at the Fermi level ... 15.3 states/eV/f.u.
# Energy relative to the lowest polymorph listed for this composition ... 12 meV/atom

---

[3]
# PrHo4Tm3 | Alexandria | GGA-PBE | optimized geometry
data_PrHo4Tm3
_chemical_formula_sum 'Pr2 Ho8 Tm6'
_cell_length_a 11.207
_cell_length_b 7.233
_cell_length_c 6.241
_cell_angle_alpha 90.00
_cell_angle_beta 90.00
_cell_angle_gamma 90.00
_space_group_name_H-M_alt 'P m n 21'
_space_group_IT_number 31
loop_
_space_group_symop_operation_xyz
'x,y,z'
'-x+1/2,-y,z+1/2'
'-x,y,z'
'x+1/2,-y,z+1/2'
loop_
_atom_site_label
_atom_site_type_symbol
_atom_site_fract_x
_atom_site_fract_y
_atom_site_fract_z
_atom_site_occupancy
Pr1 Pr 0.000 0.126 0.000 1
Ho1 Ho 0.000 0.376 0.502 1
Ho2 Ho 0.000 0.625 0.000 1
Ho3 Ho 0.247 0.624 0.334 1
Tm1 Tm 0.000 0.874 0.500 1
Tm2 Tm 0.250 0.126 0.334 1
# Formation enthalpy at 0 K ... 0.006 eV/atom
# Density of states at the Fermi level ... 12.5 states/eV/f.u.
# Energy relative to the lowest polymorph listed for this composition ... 0 meV/atom

---

[4]
# Pr8HoTm2 | Alexandria | GGA-PBE | optimized geometry
data_Pr8HoTm2
_chemical_formula_sum 'Pr16 Ho2 Tm4'
_cell_length_a 17.002
_cell_length_b 6.851
_cell_length_c 6.720
_cell_angle_alpha 90.00
_cell_angle_beta 100.10
_cell_angle_gamma 90.00
_space_group_name_H-M_alt 'C 1 2/m 1'
_space_group_IT_number 12
loop_
_space_group_symop_operation_xyz
'x,y,z'
'-x,-y,-z'
'-x,y,-z'
'x,-y,z'
'x+1/2,y+1/2,z'
'-x+1/2,-y+1/2,-z'
'-x+1/2,y+1/2,-z'
'x+1/2,-y+1/2,z'
loop_
_atom_site_label
_atom_site_type_symbol
_atom_site_fract_x
_atom_site_fract_y
_atom_site_fract_z
_atom_site_occupancy
Pr1 Pr 0.086 0.240 0.405 1
Pr2 Pr 0.097 0.000 0.919 1
Pr3 Pr 0.245 0.500 0.324 1
Ho1 Ho 0.000 0.500 0.000 1
Tm1 Tm 0.194 0.500 0.810 1
# Formation enthalpy at 0 K ... 0.171 eV/atom
# Density of states at the Fermi level ... 17.6 states/eV/f.u.
# Energy relative to the lowest polymorph listed for this composition ... 60 meV/atom

---

[5]
# Pr7Ho2Tm2 | Alexandria | GGA-PBE | optimized geometry
data_Pr7Ho2Tm2
_chemical_formula_sum 'Pr14 Ho4 Tm4'
_cell_length_a 9.291
_cell_length_b 9.588
_cell_length_c 8.767
_cell_angle_alpha 90.00
_cell_angle_beta 100.50
_cell_angle_gamma 90.00
_space_group_name_H-M_alt 'C 1 2/m 1'
_space_group_IT_number 12
loop_
_space_group_symop_operation_xyz
'x,y,z'
'-x,-y,-z'
'-x,y,-z'
'x,-y,z'
'x+1/2,y+1/2,z'
'-x+1/2,-y+1/2,-z'
'-x+1/2,y+1/2,-z'
'x+1/2,-y+1/2,z'
loop_
_atom_site_label
_atom_site_type_symbol
_atom_site_fract_x
_atom_site_fract_y
_atom_site_fract_z
_atom_site_occupancy
Pr1 Pr 0.000 0.000 0.000 1
Pr2 Pr 0.157 0.000 0.417 1
Pr3 Pr 0.229 0.314 0.206 1
Ho1 Ho 0.108 0.500 0.855 1
Tm1 Tm 0.000 0.326 0.500 1
# Formation enthalpy at 0 K ... 0.094 eV/atom
# Density of states at the Fermi level ... 16.3 states/eV/f.u.
# Energy relative to the lowest polymorph listed for this composition ... 0 meV/atom

---

[6]
# Pr2HoTm4 | Alexandria | GGA-PBE | optimized geometry
data_Pr2HoTm4
_chemical_formula_sum 'Pr4 Ho2 Tm8'
_cell_length_a 6.005
_cell_length_b 8.514
_cell_length_c 9.870
_cell_angle_alpha 85.13
_cell_angle_beta 72.35
_cell_angle_gamma 69.42
_space_group_name_H-M_alt 'P 1'
_space_group_IT_number 1
loop_
_space_group_symop_operation_xyz
'x,y,z'
loop_
_atom_site_label
_atom_site_type_symbol
_atom_site_fract_x
_atom_site_fract_y
_atom_site_fract_z
_atom_site_occupancy
Pr1 Pr 0.000 0.000 0.000 1
Pr2 Pr 0.007 0.931 0.361 1
Pr3 Pr 0.188 0.500 0.500 1
Pr4 Pr 0.299 0.068 0.639 1
Ho1 Ho 0.186 0.567 0.137 1
Ho2 Ho 0.892 0.433 0.863 1
Tm1 Tm 0.368 0.641 0.777 1
Tm2 Tm 0.397 0.147 0.273 1
Tm3 Tm 0.444 0.219 0.920 1
Tm4 Tm 0.581 0.782 0.079 1
Tm5 Tm 0.613 0.711 0.421 1
Tm6 Tm 0.747 0.288 0.578 1
Tm7 Tm 0.784 0.359 0.222 1
Tm8 Tm 0.819 0.853 0.727 1
# Formation enthalpy at 0 K ... 0.082 eV/atom
# Density of states at the Fermi level ... 11.1 states/eV/f.u.
# Energy relative to the lowest polymorph listed for this composition ... 0 meV/atom

---

[7]
# PrHo2Tm4 | Alexandria | GGA-PBE | optimized geometry
data_PrHo2Tm4
_chemical_formula_sum 'Pr2 Ho4 Tm8'
_cell_length_a 16.486
_cell_length_b 3.503
_cell_length_c 8.685
_cell_angle_alpha 90.00
_cell_angle_beta 119.36
_cell_angle_gamma 90.00
_space_group_name_H-M_alt 'C 1 2/m 1'
_space_group_IT_number 12
loop_
_space_group_symop_operation_xyz
'x,y,z'
'-x,-y,-z'
'-x,y,-z'
'x,-y,z'
'x+1/2,y+1/2,z'
'-x+1/2,-y+1/2,-z'
'-x+1/2,y+1/2,-z'
'x+1/2,-y+1/2,z'
loop_
_atom_site_label
_atom_site_type_symbol
_atom_site_fract_x
_atom_site_fract_y
_atom_site_fract_z
_atom_site_occupancy
Pr1 Pr 0.000 0.000 0.000 1
Ho1 Ho 0.070 0.000 0.430 1
Tm1 Tm 0.143 0.500 0.833 1
Tm2 Tm 0.206 0.500 0.295 1
# Formation enthalpy at 0 K ... 0.036 eV/atom
# Density of states at the Fermi level ... 10.0 states/eV/f.u.
# Energy relative to the lowest polymorph listed for this composition ... 0 meV/atom

---

[8]
# PrHo4Tm15 | Alexandria | GGA-PBE | optimized geometry
data_PrHo4Tm15
_chemical_formula_sum 'Pr1 Ho4 Tm15'
_cell_length_a 4.956
_cell_length_b 4.956
_cell_length_c 24.779
_cell_angle_alpha 90.00
_cell_angle_beta 90.00
_cell_angle_gamma 90.00
_space_group_name_H-M_alt 'P 4/m m m'
_space_group_IT_number 123
_space_group_name_Hall '-P 4 2'
loop_
_atom_site_label
_atom_site_type_symbol
_atom_site_fract_x
_atom_site_fract_y
_atom_site_fract_z
_atom_site_occupancy
Pr1 Pr 0.000 0.000 0.000 1
Ho1 Ho 0.000 0.000 0.201 1
Ho2 Ho 0.000 0.000 0.401 1
Tm1 Tm 0.000 0.500 0.102 1
Tm2 Tm 0.000 0.500 0.301 1
Tm3 Tm 0.000 0.500 0.500 1
Tm4 Tm 0.500 0.500 0.000 1
Tm5 Tm 0.500 0.500 0.202 1
Tm6 Tm 0.500 0.500 0.400 1
# Formation enthalpy at 0 K ... 0.027 eV/atom
# Density of states at the Fermi level ... 27.4 states/eV/f.u.